# TcNiGe

A relaxed structure of TcNiGe (GGA-PBE, Alexandria via LeMat-Bulk).

Summary:
As for the density of states at the Fermi level: 4.771 states/eV/f.u. As for the energy: -6.9573 eV/atom. Its energy above the most stable polymorph in this dataset is 0 meV/atom. As for the formation enthalpy at 0 K: -0.1 eV per formula unit.

abc: 4.1080 4.1080 2.7365
angles: 90.00 90.00 120.00
Last column: nearest neighbours and their distance in Å.
Element x y z (fractional)
Tc: 0.0000 0.0000 0.0000  2 Tc 2.74, 6 Ni 2.74, 6 Ge 2.74
Ni: 0.6667 0.3333 0.5000  3 Ge 2.37
Ge: 0.3333 0.6667 0.5000  3 Ni 2.37